SmDyAlCd | PBE | optimized geometry

Values from the calculation:
- Magnetization: 0.00 μB per formula unit
- Energy above the most stable polymorph in this dataset: 0.000 eV per atom
- Crystal system: tetragonal
- ΔH_f (0 K): -0.360 eV per atom
- Calculated volume: 25.56 Å³ per atom

Cell: 3.6609 3.6609 7.6283 Å, 90.00 90.00 90.00°
Closest atoms and distances in Å follow each position.
Space group P4mm (No. 99)
Symmetry-distinct sites (fractional):
Sm 0.0000 0.0000 0.0000 x1  4 Al 3.19, 4 Cd 3.32
Dy 0.0000 0.0000 0.4767 x1  4 Al 3.13, 4 Cd 3.22
Al 0.5000 0.5000 0.2453 x1  4 Dy 3.13, 4 Sm 3.19
Cd 0.5000 0.5000 0.7271 x1  4 Dy 3.22, 4 Sm 3.32